{
  "formula": "Hg3Pb13",
  "functional": "PBE",
  "state": "relaxed",
  "spacegroup": "No. 38",
  "n_ef_per_ev_cell": 8.432,
  "ef_ev_per_atom": 0.023,
  "cell": [[-2.739, 7.249, 3.038], [-7.683, -2.393, -2.128], [-0.828, -2.960, 6.317]],
  "species": ["Hg", "Hg", "Hg", "Pb", "Pb", "Pb", "Pb", "Pb", "Pb", "Pb", "Pb", "Pb", "Pb", "Pb", "Pb", "Pb"],
  "frac_coords": [[0.038, 0.962, 0.755], [0.788, 0.212, 0.000], [0.038, 0.962, 0.245], [0.960, 0.537, 0.752], [0.537, 0.463, 0.751], [0.463, 0.040, 0.752], [0.206, 0.281, 0.000], [0.719, 0.794, 0.000], [0.286, 0.714, 0.000], [0.960, 0.537, 0.248], [0.537, 0.463, 0.249], [0.463, 0.040, 0.248], [0.790, 0.210, 0.500], [0.205, 0.279, 0.500], [0.721, 0.795, 0.500], [0.288, 0.712, 0.500]]
}


{
  "formula": "Hg2Pb",
  "functional": "PBE",
  "state": "relaxed",
  "spacegroup": "No. 227",
  "n_ef_per_ev_cell": 17.950,
  "ef_ev_per_atom": 0.064,
  "cell": [[-0.981, 9.987, 0.452], [-7.578, 4.525, -4.798], [-7.542, 4.074, 5.238]],
  "species": ["Hg", "Hg", "Hg", "Hg", "Hg", "Hg", "Hg", "Hg", "Hg", "Hg", "Hg", "Hg", "Hg", "Hg", "Hg", "Hg", "Pb", "Pb", "Pb", "Pb", "Pb", "Pb", "Pb", "Pb"],
  "frac_coords": [[0.000, 0.500, 0.500], [0.000, 0.500, 0.000], [0.000, 0.000, 0.500], [0.500, 0.500, 0.500], [0.193, 0.693, 0.057], [0.193, 0.057, 0.693], [0.193, 0.057, 0.057], [0.557, 0.693, 0.693], [0.557, 0.693, 0.057], [0.557, 0.057, 0.693], [0.807, 0.307, 0.943], [0.807, 0.943, 0.307], [0.807, 0.943, 0.943], [0.443, 0.307, 0.307], [0.443, 0.307, 0.943], [0.443, 0.943, 0.307], [0.149, 0.284, 0.284], [0.784, 0.649, 0.284], [0.784, 0.284, 0.649], [0.784, 0.284, 0.284], [0.851, 0.716, 0.716], [0.216, 0.351, 0.716], [0.216, 0.716, 0.351], [0.216, 0.716, 0.716]]
}


{
  "formula": "Hg2Pb3",
  "functional": "PBE",
  "state": "relaxed",
  "spacegroup": "No. 72",
  "n_ef_per_ev_cell": 4.997,
  "ef_ev_per_atom": 0.101,
  "cell": [[-1.803, 1.676, 5.923], [-7.138, -3.261, -1.250], [6.567, -4.629, -0.164]],
  "species": ["Hg", "Hg", "Hg", "Hg", "Pb", "Pb", "Pb", "Pb", "Pb", "Pb"],
  "frac_coords": [[0.159, 0.421, 0.318], [0.841, 0.579, 0.682], [0.341, 0.103, 0.682], [0.659, 0.897, 0.318], [0.750, 0.000, 0.000], [0.250, 0.000, 0.000], [0.893, 0.244, 0.785], [0.607, 0.459, 0.215], [0.393, 0.541, 0.785], [0.107, 0.756, 0.215]]
}


{
  "formula": "Hg8Pb",
  "functional": "PBE",
  "state": "relaxed",
  "spacegroup": "No. 139",
  "n_ef_per_ev_cell": 2.354,
  "ef_ev_per_atom": 0.028,
  "cell": [[4.841, 0.000, 0.000], [2.421, 7.087, 0.000], [2.421, 0.000, 7.087]],
  "species": ["Hg", "Hg", "Hg", "Hg", "Hg", "Hg", "Hg", "Hg", "Pb"],
  "frac_coords": [[0.330, 0.000, 0.340], [0.670, 0.000, 0.660], [0.670, 0.660, 0.000], [0.000, 0.663, 0.337], [0.337, 0.663, 0.663], [0.663, 0.337, 0.337], [0.000, 0.337, 0.663], [0.330, 0.340, 0.000], [0.000, 0.000, 0.000]]
}


{
  "formula": "Hg2Pb",
  "functional": "PBE",
  "state": "relaxed",
  "spacegroup": "No. 139",
  "n_ef_per_ev_cell": 1.242,
  "ef_ev_per_atom": 0.035,
  "cell": [[6.022, -0.456, 0.000], [3.847, 4.656, 0.000], [-4.934, -2.100, 2.778]],
  "species": ["Pb", "Hg", "Hg"],
  "frac_coords": [[0.000, 0.000, 0.000], [0.327, 0.327, 0.000], [0.673, 0.673, 0.000]]
}


{
  "formula": "Hg3Pb",
  "functional": "PBE",
  "state": "relaxed",
  "spacegroup": "No. 139",
  "n_ef_per_ev_cell": 1.541,
  "ef_ev_per_atom": 0.041,
  "cell": [[-0.027, 0.564, -4.645], [3.134, -3.448, -0.437], [-5.218, -1.841, 2.164]],
  "species": ["Pb", "Hg", "Hg", "Hg"],
  "frac_coords": [[0.000, 0.000, 0.000], [0.750, 0.250, 0.500], [0.250, 0.750, 0.500], [0.500, 0.500, 0.000]]
}


{
  "formula": "Hg5Pb7",
  "functional": "PBE",
  "state": "relaxed",
  "spacegroup": "No. 12",
  "n_ef_per_ev_cell": 4.460,
  "ef_ev_per_atom": 0.025,
  "cell": [[-3.281, 0.534, -1.086], [1.619, -8.050, -3.219], [-3.990, -1.096, 11.523]],
  "species": ["Hg", "Hg", "Hg", "Hg", "Hg", "Pb", "Pb", "Pb", "Pb", "Pb", "Pb", "Pb"],
  "frac_coords": [[0.673, 0.346, 0.507], [0.327, 0.654, 0.493], [0.176, 0.353, 0.256], [0.824, 0.647, 0.744], [0.000, 0.000, 0.000], [0.483, 0.966, 0.745], [0.517, 0.034, 0.255], [0.837, 0.675, 0.245], [0.163, 0.325, 0.755], [0.660, 0.320, 0.001], [0.000, 0.000, 0.500], [0.340, 0.680, 0.999]]
}


{
  "formula": "Hg4Pb3",
  "functional": "PBE",
  "state": "relaxed",
  "spacegroup": "No. 191",
  "n_ef_per_ev_cell": 5.059,
  "ef_ev_per_atom": 0.103,
  "cell": [[-2.557, 0.916, -6.048], [-3.227, -3.725, 4.434], [-2.707, 4.523, 1.830]],
  "species": ["Hg", "Hg", "Hg", "Hg", "Pb", "Pb", "Pb"],
  "frac_coords": [[0.000, 0.000, 0.254], [0.000, 0.000, 0.746], [0.667, 0.333, 0.500], [0.333, 0.667, 0.500], [0.000, 0.500, 0.000], [0.500, 0.500, 0.000], [0.500, 0.000, 0.000]]
}


{
  "formula": "HgPb",
  "functional": "PBE",
  "state": "relaxed",
  "spacegroup": "No. 12",
  "n_ef_per_ev_cell": 1.511,
  "ef_ev_per_atom": 0.024,
  "cell": [[-3.158, -4.006, 3.372], [-3.812, -4.781, -0.037], [3.200, -4.687, 0.450]],
  "species": ["Pb", "Pb", "Hg", "Hg"],
  "frac_coords": [[0.494, 0.494, 0.436], [0.256, 0.256, 0.148], [0.009, 0.009, 0.926], [0.741, 0.741, 0.657]]
}


{
  "formula": "Hg13Pb2",
  "functional": "PBE",
  "state": "relaxed",
  "spacegroup": "No. 166",
  "n_ef_per_ev_cell": 6.108,
  "ef_ev_per_atom": 0.097,
  "cell": [[7.261, 0.000, 3.579], [2.749, 6.721, 3.579], [-0.344, -0.231, 9.854]],
  "species": ["Hg", "Hg", "Hg", "Hg", "Hg", "Hg", "Hg", "Hg", "Hg", "Hg", "Hg", "Hg", "Hg", "Pb", "Pb"],
  "frac_coords": [[0.500, 0.500, 0.500], [0.131, 0.513, 0.843], [0.513, 0.513, 0.843], [0.513, 0.131, 0.843], [0.487, 0.869, 0.157], [0.869, 0.487, 0.157], [0.487, 0.487, 0.157], [0.124, 0.745, 0.385], [0.745, 0.745, 0.385], [0.745, 0.124, 0.385], [0.255, 0.876, 0.615], [0.876, 0.255, 0.615], [0.255, 0.255, 0.615], [0.757, 0.757, 0.729], [0.243, 0.243, 0.271]]
}


{
  "formula": "HgPb3",
  "functional": "PBE",
  "state": "relaxed",
  "spacegroup": "No. 65",
  "n_ef_per_ev_cell": 1.753,
  "ef_ev_per_atom": 0.019,
  "cell": [[6.051, -0.134, 0.000], [-2.120, 5.669, 0.000], [0.000, 0.000, 3.523]],
  "species": ["Pb", "Pb", "Pb", "Hg"],
  "frac_coords": [[0.000, 0.500, 0.500], [0.500, 0.000, 0.500], [0.500, 0.500, 0.000], [0.000, 0.000, 0.000]]
}


{
  "formula": "HgPb",
  "functional": "PBE",
  "state": "relaxed",
  "spacegroup": "No. 62",
  "n_ef_per_ev_cell": 3.674,
  "ef_ev_per_atom": 0.030,
  "cell": [[5.817, 0.000, 0.000], [0.000, 6.769, 0.000], [0.000, 0.000, 5.833]],
  "species": ["Hg", "Hg", "Hg", "Hg", "Pb", "Pb", "Pb", "Pb"],
  "frac_coords": [[0.750, 0.875, 0.028], [0.250, 0.375, 0.472], [0.750, 0.625, 0.528], [0.250, 0.125, 0.972], [0.750, 0.376, 0.023], [0.250, 0.876, 0.477], [0.750, 0.124, 0.523], [0.250, 0.624, 0.977]]
}


{
  "formula": "Hg5Pb3",
  "functional": "PBE",
  "state": "relaxed",
  "spacegroup": "No. 8",
  "n_ef_per_ev_cell": 5.422,
  "ef_ev_per_atom": 0.048,
  "cell": [[9.399, -0.229, 0.284], [-7.329, 5.888, 0.284], [-0.800, -2.188, 8.350]],
  "species": ["Hg", "Hg", "Hg", "Hg", "Hg", "Hg", "Hg", "Hg", "Hg", "Hg", "Pb", "Pb", "Pb", "Pb", "Pb", "Pb"],
  "frac_coords": [[0.748, 0.248, 0.508], [0.251, 0.751, 0.493], [0.229, 0.058, 0.291], [0.771, 0.944, 0.709], [0.287, 0.607, 0.800], [0.714, 0.395, 0.201], [0.444, 0.271, 0.709], [0.558, 0.729, 0.291], [0.895, 0.214, 0.201], [0.107, 0.787, 0.800], [0.210, 0.289, 0.000], [0.789, 0.710, 0.000], [0.712, 0.212, 0.876], [0.290, 0.790, 0.126], [0.810, 0.692, 0.501], [0.192, 0.310, 0.501]]
}


{
  "formula": "Hg2Pb",
  "functional": "PBE",
  "state": "relaxed",
  "spacegroup": "No. 74",
  "n_ef_per_ev_cell": 3.220,
  "ef_ev_per_atom": 0.058,
  "cell": [[0.175, -4.655, -13.608], [4.705, -5.910, -12.240], [-3.280, 3.104, 13.656]],
  "species": ["Pb", "Pb", "Hg", "Hg", "Hg", "Hg"],
  "frac_coords": [[0.125, 0.375, 0.750], [0.875, 0.625, 0.250], [0.707, 0.957, 0.750], [0.293, 0.043, 0.250], [0.544, 0.794, 0.750], [0.456, 0.206, 0.250]]
}


{
  "formula": "HgPb",
  "functional": "PBE",
  "state": "relaxed",
  "spacegroup": "No. 227",
  "n_ef_per_ev_cell": 1.328,
  "ef_ev_per_atom": 0.024,
  "cell": [[-1.112, -5.271, -0.800], [2.612, -3.805, 2.890], [-2.664, -2.832, 3.813]],
  "species": ["Pb", "Pb", "Hg", "Hg"],
  "frac_coords": [[0.125, 0.125, 0.125], [0.875, 0.875, 0.875], [0.375, 0.375, 0.375], [0.625, 0.625, 0.625]]
}


{
  "formula": "HgPb",
  "functional": "PBE",
  "state": "relaxed",
  "spacegroup": "No. 198",
  "n_ef_per_ev_cell": 4.200,
  "ef_ev_per_atom": 0.046,
  "cell": [[6.143, 0.000, 0.000], [0.000, 6.143, 0.000], [0.000, 0.000, 6.143]],
  "species": ["Hg", "Hg", "Hg", "Hg", "Pb", "Pb", "Pb", "Pb"],
  "frac_coords": [[0.595, 0.595, 0.405], [0.905, 0.405, 0.905], [0.405, 0.095, 0.095], [0.095, 0.905, 0.595], [0.900, 0.900, 0.100], [0.600, 0.100, 0.600], [0.100, 0.400, 0.400], [0.400, 0.600, 0.900]]
}


{
  "formula": "HgPb",
  "functional": "PBE",
  "state": "relaxed",
  "spacegroup": "No. 139",
  "n_ef_per_ev_cell": 5.295,
  "ef_ev_per_atom": 0.062,
  "cell": [[10.219, 0.000, 0.000], [0.000, 10.219, 0.000], [0.000, 0.000, 4.569]],
  "species": ["Hg", "Hg", "Hg", "Hg", "Hg", "Hg", "Hg", "Hg", "Pb", "Pb", "Pb", "Pb", "Pb", "Pb", "Pb", "Pb"],
  "frac_coords": [[0.835, 0.500, 0.000], [0.165, 0.500, 0.000], [0.500, 0.165, 0.000], [0.500, 0.835, 0.000], [0.335, 0.000, 0.500], [0.665, 0.000, 0.500], [0.000, 0.665, 0.500], [0.000, 0.335, 0.500], [0.165, 0.165, 0.000], [0.165, 0.835, 0.000], [0.835, 0.165, 0.000], [0.835, 0.835, 0.000], [0.665, 0.665, 0.500], [0.665, 0.335, 0.500], [0.335, 0.665, 0.500], [0.335, 0.335, 0.500]]
}


{
  "formula": "Hg3Pb",
  "functional": "PBE",
  "state": "relaxed",
  "spacegroup": "No. 12",
  "n_ef_per_ev_cell": 1.311,
  "ef_ev_per_atom": 0.026,
  "cell": [[3.325, 0.000, 0.000], [0.000, 5.838, 0.654], [-1.663, 0.096, 5.843]],
  "species": ["Hg", "Hg", "Hg", "Pb"],
  "frac_coords": [[0.500, 0.500, 0.000], [0.746, 0.253, 0.493], [0.254, 0.747, 0.507], [0.000, 0.000, 0.000]]
}


{
  "formula": "HgPb",
  "functional": "PBE",
  "state": "relaxed",
  "spacegroup": "No. 176",
  "n_ef_per_ev_cell": 3.749,
  "ef_ev_per_atom": 0.053,
  "cell": [[8.811, 0.000, 0.000], [-4.405, 7.630, 0.000], [0.000, 0.000, 5.577]],
  "species": ["Hg", "Hg", "Hg", "Hg", "Hg", "Hg", "Pb", "Pb", "Pb", "Pb", "Pb", "Pb"],
  "frac_coords": [[0.581, 0.101, 0.250], [0.481, 0.581, 0.750], [0.899, 0.481, 0.250], [0.419, 0.899, 0.750], [0.519, 0.419, 0.250], [0.101, 0.519, 0.750], [0.103, 0.259, 0.250], [0.845, 0.103, 0.750], [0.741, 0.845, 0.250], [0.897, 0.741, 0.750], [0.155, 0.897, 0.250], [0.259, 0.155, 0.750]]
}


{
  "formula": "Hg3Pb",
  "functional": "PBE",
  "state": "relaxed",
  "spacegroup": "No. 194",
  "n_ef_per_ev_cell": 2.417,
  "ef_ev_per_atom": 0.060,
  "cell": [[-3.735, 0.605, -3.576], [3.274, -4.417, -4.167], [-4.684, -2.328, 4.499]],
  "species": ["Pb", "Pb", "Hg", "Hg", "Hg", "Hg", "Hg", "Hg"],
  "frac_coords": [[0.250, 0.667, 0.333], [0.750, 0.333, 0.667], [0.750, 0.838, 0.162], [0.750, 0.325, 0.162], [0.750, 0.838, 0.675], [0.250, 0.162, 0.838], [0.250, 0.675, 0.838], [0.250, 0.162, 0.325]]
}


{
  "formula": "Hg3Pb",
  "functional": "PBE",
  "state": "relaxed",
  "spacegroup": "No. 139",
  "n_ef_per_ev_cell": 2.924,
  "ef_ev_per_atom": 0.042,
  "cell": [[11.182, 0.338, 0.000], [9.187, 6.384, 0.000], [-10.184, -3.361, 3.184]],
  "species": ["Hg", "Hg", "Hg", "Hg", "Hg", "Hg", "Pb", "Pb"],
  "frac_coords": [[0.500, 0.000, 0.500], [0.000, 0.500, 0.500], [0.250, 0.750, 0.500], [0.750, 0.250, 0.500], [0.883, 0.883, 0.000], [0.117, 0.117, 0.000], [0.632, 0.632, 0.000], [0.368, 0.368, 0.000]]
}


{
  "formula": "Hg3Pb",
  "functional": "PBE",
  "state": "relaxed",
  "spacegroup": "No. 65",
  "n_ef_per_ev_cell": 1.652,
  "ef_ev_per_atom": 0.035,
  "cell": [[-0.563, 0.010, -3.412], [1.526, -2.869, 1.183], [-9.226, -4.286, 1.510]],
  "species": ["Pb", "Hg", "Hg", "Hg"],
  "frac_coords": [[0.500, 0.500, 0.250], [0.000, 0.000, 0.991], [0.500, 0.500, 0.750], [0.000, 0.000, 0.509]]
}


{
  "formula": "HgPb",
  "functional": "PBE",
  "state": "relaxed",
  "spacegroup": "No. 166",
  "n_ef_per_ev_cell": 0.778,
  "ef_ev_per_atom": 0.033,
  "cell": [[5.565, -0.144, -0.088], [4.509, 3.266, -0.088], [4.509, 1.397, 2.953]],
  "species": ["Pb", "Hg"],
  "frac_coords": [[0.500, 0.500, 0.500], [0.000, 0.000, 0.000]]
}


{
  "formula": "Hg5Pb3",
  "functional": "PBE",
  "state": "relaxed",
  "spacegroup": "No. 65",
  "n_ef_per_ev_cell": 3.332,
  "ef_ev_per_atom": 0.033,
  "cell": [[6.342, 0.421, 0.000], [-1.417, 6.196, 0.000], [0.000, 0.000, 5.734]],
  "species": ["Hg", "Hg", "Hg", "Hg", "Hg", "Pb", "Pb", "Pb"],
  "frac_coords": [[0.000, 0.000, 0.000], [0.000, 0.500, 0.000], [0.500, 0.000, 0.000], [0.191, 0.191, 0.500], [0.809, 0.809, 0.500], [0.500, 0.500, 0.000], [0.699, 0.301, 0.500], [0.301, 0.699, 0.500]]
}